Record 1
{
  "formula": "DyTl2P2S6",
  "functional": "GGA-PBE",
  "state": "optimized geometry",
  "lattice_angstrom": [[5.7782, -3.4390, 0.0000], [5.7782, 3.4390, 0.0000], [-3.7026, 0.0000, 7.0907]],
  "species": ["Dy", "Tl", "Tl", "P", "P", "S", "S", "S", "S", "S", "S"],
  "fractional_positions": [[0.0000, 0.0000, 0.0000], [0.2062, 0.2062, 0.6890], [0.7938, 0.7938, 0.3110], [0.4534, 0.4534, 0.3201], [0.5466, 0.5466, 0.6799], [0.2056, 0.6937, 0.7064], [0.2579, 0.2579, 0.1129], [0.3063, 0.7944, 0.2936], [0.6937, 0.2056, 0.7064], [0.7421, 0.7421, 0.8871], [0.7944, 0.3063, 0.2936]],
  "total_magnetization_mub_per_atom": 0.000,
  "e_form_raw_ev_per_atom": -0.588
}

Record 2
{
  "formula": "TeHPb2Au",
  "functional": "GGA-PBE",
  "state": "optimized geometry",
  "lattice_angstrom": [[5.7171, 0.0000, 0.0000], [0.0000, 5.7171, 0.0000], [0.0000, 0.0000, 3.7467]],
  "species": ["Te", "H", "Pb", "Pb", "Au"],
  "fractional_positions": [[0.0000, 0.0000, 0.0000], [0.5000, 0.5000, 0.0000], [0.0000, 0.5000, 0.5000], [0.5000, 0.0000, 0.5000], [0.5000, 0.5000, 0.5000]],
  "dft_energy_ev_per_cell": -17.25,
  "total_magnetization_mub_per_atom": 0.000
}

Record 3
{
  "formula": "SmCuNiPt3",
  "functional": "GGA-PBE",
  "state": "optimized geometry",
  "lattice_angstrom": [[3.1122, -6.1689, 0.0000], [3.1122, 6.1689, 0.0000], [0.0000, 0.0000, 5.4778]],
  "species": ["Sm", "Sm", "Cu", "Cu", "Ni", "Ni", "Pt", "Pt", "Pt", "Pt", "Pt", "Pt"],
  "fractional_positions": [[0.2023, 0.7977, 0.7500], [0.7977, 0.2023, 0.2500], [0.1499, 0.8501, 0.2500], [0.8501, 0.1499, 0.7500], [0.4159, 0.5841, 0.7500], [0.5841, 0.4159, 0.2500], [0.2109, 0.2109, 0.0000], [0.2109, 0.2109, 0.5000], [0.3529, 0.6471, 0.2500], [0.6471, 0.3529, 0.7500], [0.7891, 0.7891, 0.0000], [0.7891, 0.7891, 0.5000]],
  "total_magnetization_mub_per_atom": 0.000,
  "formation_energy_ev_per_fu": -2.20
}

Record 4
{
  "formula": "TaFe2Re",
  "functional": "GGA-PBE",
  "state": "optimized geometry",
  "lattice_angstrom": [[3.1676, 0.0000, 0.0000], [0.0000, 4.2582, 0.0000], [0.0000, 0.0000, 8.3741]],
  "species": ["Ta", "Ta", "Fe", "Fe", "Fe", "Fe", "Re", "Re"],
  "fractional_positions": [[0.0000, 0.0000, 0.0000], [0.5000, 0.5000, 0.0000], [0.0000, 0.5000, 0.2576], [0.0000, 0.5000, 0.7424], [0.5000, 0.0000, 0.2576], [0.5000, 0.0000, 0.7424], [0.0000, 0.0000, 0.5000], [0.5000, 0.5000, 0.5000]],
  "total_magnetization_mub_per_atom": 0.994,
  "formation_energy_ev_per_fu": 0.47
}

Record 5
{
  "formula": "CsHg2Sb2Se6",
  "functional": "GGA-PBE",
  "state": "optimized geometry",
  "lattice_angstrom": [[7.1304, 0.0000, 0.0000], [1.0205, 7.4311, 0.0000], [0.4221, 3.4031, 8.0631]],
  "species": ["Cs", "Hg", "Hg", "Sb", "Sb", "Se", "Se", "Se", "Se", "Se", "Se"],
  "fractional_positions": [[0.0000, 0.0000, 0.0000], [0.4945, 0.7398, 0.7018], [0.5055, 0.2602, 0.2982], [0.0138, 0.7087, 0.5742], [0.9862, 0.2913, 0.4258], [0.2102, 0.5691, 0.8482], [0.2232, 0.5490, 0.3602], [0.2571, 0.0195, 0.3575], [0.7429, 0.9805, 0.6425], [0.7768, 0.4510, 0.6398], [0.7898, 0.4309, 0.1518]],
  "total_magnetization_mub_per_atom": 0.000,
  "e_form_raw_ev_per_atom": -0.325
}

Record 6
{
  "formula": "Ho2Co2Cu",
  "functional": "GGA-PBE",
  "state": "optimized geometry",
  "lattice_angstrom": [[4.6079, -2.6064, 0.0000], [4.6079, 2.6064, 0.0000], [-1.9709, 0.0000, 7.2933]],
  "species": ["Ho", "Ho", "Ho", "Ho", "Co", "Co", "Co", "Co", "Cu", "Cu"],
  "fractional_positions": [[0.0046, 0.7033, 0.8530], [0.2967, 0.9954, 0.6470], [0.7033, 0.0046, 0.3530], [0.9954, 0.2967, 0.1470], [0.2132, 0.5046, 0.4956], [0.4954, 0.7868, 0.0044], [0.5046, 0.2132, 0.9956], [0.7868, 0.4954, 0.5044], [0.3535, 0.6465, 0.2500], [0.6465, 0.3535, 0.7500]],
  "total_magnetization_mub_per_atom": 0.048,
  "formation_energy_ev_per_fu": -1.05
}

Record 7
{
  "formula": "Be2Te",
  "functional": "GGA-PBE",
  "state": "optimized geometry",
  "lattice_angstrom": [[3.7423, 0.0000, 0.0000], [0.0000, 15.6808, 0.0000], [0.0000, 0.0000, 3.7213]],
  "species": ["Be", "Be", "Be", "Be", "Be", "Be", "Be", "Be", "Te", "Te", "Te", "Te"],
  "fractional_positions": [[0.0000, 0.0000, 0.0000], [0.0000, 0.0708, 0.5000], [0.0000, 0.5000, 0.5000], [0.0000, 0.9292, 0.5000], [0.5000, 0.0000, 0.5000], [0.5000, 0.4292, 0.5000], [0.5000, 0.5000, 0.0000], [0.5000, 0.5708, 0.5000], [0.0000, 0.3735, 0.0000], [0.0000, 0.6265, 0.0000], [0.5000, 0.1265, 0.0000], [0.5000, 0.8735, 0.0000]],
  "total_magnetization_mub_per_atom": 0.000,
  "relative_energy_mev_per_atom": 313,
  "e_form_raw_ev_per_atom": 0.334
}

Record 8
{
  "formula": "YZn2Pd2",
  "functional": "GGA-PBE",
  "state": "optimized geometry",
  "lattice_angstrom": [[-2.0354, 2.0354, 11.1510], [2.0354, -2.0354, 11.1510], [2.0354, 2.0354, -11.1510]],
  "species": ["Y", "Y", "Zn", "Zn", "Zn", "Zn", "Pd", "Pd", "Pd", "Pd"],
  "fractional_positions": [[0.1282, 0.1282, 0.0000], [0.8718, 0.8718, 0.0000], [0.0000, 0.5000, 0.5000], [0.3178, 0.3178, 0.0000], [0.5000, 0.0000, 0.5000], [0.6822, 0.6822, 0.0000], [0.2500, 0.7500, 0.5000], [0.4290, 0.4290, 0.0000], [0.5710, 0.5710, 0.0000], [0.7500, 0.2500, 0.5000]],
  "total_magnetization_mub_per_atom": 0.000,
  "relative_energy_mev_per_atom": 15,
  "formation_energy_ev_per_fu": -3.10
}